VASP calculation (PBE-GGA) on a geometry-optimized Li5Mg2AlGa2 structure.

a b c (Å): 9.881 9.881 3.733
angles (deg): 90.00 90.00 90.00
Space group P4/mbm (No. 127)
Symmetry-distinct sites (fractional):
1 Li 0.000 0.500 0.000 x2
2 Li 0.068 0.198 0.000 x8
3 Mg 0.171 0.671 0.500 x4
4 Al 0.000 0.000 0.500 x2
5 Ga 0.126 0.374 0.500 x4

- DFT total energy: -47.04 eV for the cell shown
- Density: 2.28 g/cm³

VASP calculation (PBE-GGA) on a geometry-optimized LiMgAlGa2 structure.

a b c (Å): 4.4434 4.4434 5.7600
angles (deg): 90.00 90.00 120.00
Space group P3m1 (No. 156)
Symmetry-distinct sites (fractional):
1 Li 0.0000 0.0000 0.0000 x1
2 Mg 0.3333 0.6667 0.6611 x1
3 Al 0.6667 0.3333 0.3224 x1
4 Ga 0.0000 0.0000 0.4614 x1
5 Ga 0.6667 0.3333 0.8550 x1

- DFT total energy: -13.50 eV for the cell shown
- Density: 3.33 g/cm³

VASP calculation (PBE-GGA) on a geometry-optimized LiAl2GaN structure.

a b c (Å): 3.982 3.982 4.103
angles (deg): 90.00 90.00 90.00
Space group P4/mmm (No. 123)
Symmetry-distinct sites (fractional):
1 Li 0.000 0.000 0.000 x1
2 Al 0.000 0.500 0.500 x2
3 Ga 0.500 0.500 0.000 x1
4 N 0.000 0.000 0.500 x1

- DFT total energy: -22.14 eV for the cell shown
- Density: 3.69 g/cm³

VASP calculation (PBE-GGA) on a geometry-optimized NaLiAl2Ga4 structure.

a b c (Å): 4.6241 4.6241 23.6597
angles (deg): 90.00 90.00 120.00
Space group R-3m (No. 166, hexagonal axes)
Symmetry-distinct sites (fractional):
1 Na 0.0000 0.0000 0.0000 x3
2 Li 0.0000 0.0000 0.5000 x3
3 Al 0.0000 0.0000 0.2479 x6
4 Ga 0.0000 0.0000 0.1273 x6
5 Ga 0.0000 0.0000 0.3847 x6

- DFT total energy: -69.86 eV for the cell shown
- Density: 4.13 g/cm³

VASP calculation (PBE-GGA) on a geometry-optimized NaLiAlGa structure.

a b c (Å): 6.624 6.624 6.624
angles (deg): 90.00 90.00 90.00
Space group F-43m (No. 216)
Symmetry-distinct sites (fractional):
1 Na 0.000 0.000 0.000 x4
2 Li 0.250 0.250 0.750 x4
3 Al 0.000 0.000 0.500 x4
4 Ga 0.250 0.250 0.250 x4

- DFT total energy: -41.00 eV for the cell shown
- Density: 2.89 g/cm³

VASP calculation (PBE-GGA) on a geometry-optimized LiNd4Al2Ga structure.

a b c (Å): 5.2854 5.2854 25.9232
angles (deg): 90.00 90.00 120.00
Space group R-3m (No. 166, hexagonal axes)
Symmetry-distinct sites (fractional):
1 Li 0.0000 0.0000 0.0000 x3
2 Nd 0.0000 0.0000 0.1277 x6
3 Nd 0.0000 0.0000 0.3786 x6
4 Al 0.0000 0.0000 0.2548 x6
5 Ga 0.0000 0.0000 0.5000 x3

- DFT total energy: -102.35 eV for the cell shown
- Density: 5.62 g/cm³